Li3Nb4NiO12 | GGA+U | optimized geometry

a = 5.621 Å, b = 11.306 Å, c = 9.911 Å
α = 27.79°, β = 49.89°, γ = 55.19°
Last column: magnetic moment on the atom in μB.
Sites, in units of the cell vectors:
O  0.611  0.683  0.860  0.00
O  0.101  0.829  0.720  0.01
O  0.721  0.377  0.357  0.00
O  0.863  0.189  0.231  0.00
O  0.109  0.314  0.726  0.00
O  0.211  0.604  0.631  0.01
O  0.218  0.123  0.615  0.00
O  0.713  0.875  0.364  0.01
O  0.860  0.689  0.230  0.00
O  0.359  0.803  0.114  0.00
O  0.371  0.329  0.093  0.01
O  0.609  0.173  0.866  0.01
Nb  0.508  0.002  0.498  0.00
Nb  0.013  0.512  0.985  -0.03
Nb  0.006  0.002  0.996  -0.01
Nb  0.511  0.497  0.497  -0.02
Li  0.779  0.005  0.782  0.00
Li  0.287  0.497  0.285  0.00
Li  0.795  0.505  0.776  0.00
Ni  0.284  0.991  0.304  1.03

Calculated values
Its symmetry is P1. The size of the total moment comes out at 1.00 μB per cell. The calculation puts the calculated total energy at -154.26 eV/cell.